PrTh2In after structural relaxation. Source: Alexandria, functional GGA-PBE.

a = 5.080 Å, b = 4.919 Å, c = 4.919 Å
α = 90.00°, β = 90.00°, γ = 90.00°
Sites, in units of the cell vectors:
In: 0.500 0.000 0.000
Th: 0.000 0.000 0.500
Th: 0.000 0.500 0.000
Pr: 0.500 0.500 0.500

Its energy relative to the elements is -0.177 eV/atom. The theoretical density is 9.7 Mg/m³. For the total energy, the calculation gives -23.06 eV/f.u. For the offset from the most stable computed form, the calculation gives 0 meV per atom.



PrThIn6 after structural relaxation. Source: Alexandria, functional GGA-PBE.

a = 4.739 Å, b = 4.739 Å, c = 9.481 Å
α = 90.00°, β = 90.00°, γ = 90.00°
Sites, in units of the cell vectors:
In: 0.000 0.500 0.749
In: 0.500 0.000 0.251
In: 0.500 0.000 0.749
In: 0.500 0.500 0.500
In: 0.500 0.500 0.000
In: 0.000 0.500 0.251
Pr: 0.000 0.000 0.500
Th: 0.000 0.000 0.000

Its energy relative to the elements is -0.417 eV/atom. The theoretical density is 8.3 Mg/m³. For the total energy, the calculation gives -31.97 eV/f.u.



PrThIn after structural relaxation. Source: Alexandria, functional GGA-PBE.

a = 3.309 Å, b = 5.532 Å, c = 5.532 Å
α = 120.00°, β = 90.00°, γ = 90.00°
Sites, in units of the cell vectors:
Th: 0.209 0.333 0.667
Pr: 0.116 0.000 0.000
In: 0.675 0.667 0.333

Its energy relative to the elements is -0.002 eV/atom. The theoretical density is 9.2 Mg/m³. For the total energy, the calculation gives -14.94 eV/f.u. For the offset from the most stable computed form, the calculation gives 200 meV per atom.



PrThIn after structural relaxation. Source: Alexandria, functional GGA-PBE.

a = 5.005 Å, b = 4.619 Å, c = 8.310 Å
α = 106.14°, β = 90.00°, γ = 90.00°
Sites, in units of the cell vectors:
Pr: 0.750 0.262 0.525
Pr: 0.250 0.738 0.475
In: 0.250 0.090 0.181
In: 0.750 0.910 0.819
Th: 0.250 0.428 0.857
Th: 0.750 0.572 0.143

Its energy relative to the elements is -0.202 eV/atom. The theoretical density is 8.8 Mg/m³. For the total energy, the calculation gives -15.54 eV/f.u. For the offset from the most stable computed form, the calculation gives 0 meV per atom.



PrTh2In after structural relaxation. Source: Alexandria, functional GGA-PBE.

a = 4.813 Å, b = 4.750 Å, c = 11.676 Å
α = 90.00°, β = 101.90°, γ = 90.00°
Sites, in units of the cell vectors:
Pr: 0.305 0.250 0.612
Pr: 0.695 0.750 0.388
Th: 0.440 0.750 0.881
Th: 0.058 0.750 0.116
Th: 0.560 0.250 0.119
Th: 0.942 0.250 0.884
In: 0.165 0.250 0.329
In: 0.835 0.750 0.671

Its energy relative to the elements is -0.164 eV/atom. The theoretical density is 9.2 Mg/m³. For the total energy, the calculation gives -23.01 eV/f.u. For the offset from the most stable computed form, the calculation gives 12 meV per atom.



PrThTlIn after structural relaxation. Source: Alexandria, functional GGA-PBE.

a = 4.044 Å, b = 4.044 Å, c = 7.265 Å
α = 90.00°, β = 90.00°, γ = 90.00°
Sites, in units of the cell vectors:
In: 0.500 0.500 0.606
Th: 0.000 0.000 0.854
Tl: 0.500 0.500 0.109
Pr: 0.000 0.000 0.358

Its energy relative to the elements is -0.268 eV/atom. The theoretical density is 9.7 Mg/m³. For the total energy, the calculation gives -18.38 eV/f.u. For the offset from the most stable computed form, the calculation gives 0 meV per atom.



PrThTlIn after structural relaxation. Source: Alexandria, functional GGA-PBE.

a = 5.527 Å, b = 5.527 Å, c = 5.527 Å
α = 60.00°, β = 60.00°, γ = 60.00°
Sites, in units of the cell vectors:
Tl: 0.000 0.000 0.000
In: 0.500 0.500 0.500
Pr: 0.750 0.750 0.750
Th: 0.250 0.250 0.250

Its energy relative to the elements is -0.259 eV/atom. The theoretical density is 9.6 Mg/m³. For the total energy, the calculation gives -18.34 eV/f.u. For the offset from the most stable computed form, the calculation gives 9 meV per atom.



PrTmThIn after structural relaxation. Source: Alexandria, functional GGA-PBE.

a = 5.512 Å, b = 5.512 Å, c = 5.512 Å
α = 60.00°, β = 60.00°, γ = 60.00°
Sites, in units of the cell vectors:
Tm: 0.000 0.000 0.000
Th: 0.750 0.750 0.750
Pr: 0.500 0.500 0.500
In: 0.250 0.250 0.250

Its energy relative to the elements is -0.023 eV/atom. The theoretical density is 9.2 Mg/m³. For the total energy, the calculation gives -19.50 eV/f.u.



PrThZnIn after structural relaxation. Source: Alexandria, functional GGA-PBE.

a = 5.380 Å, b = 5.380 Å, c = 5.380 Å
α = 60.00°, β = 60.00°, γ = 60.00°
Sites, in units of the cell vectors:
Th: 0.750 0.750 0.750
In: 0.500 0.500 0.500
Zn: 0.000 0.000 0.000
Pr: 0.250 0.250 0.250

Its energy relative to the elements is -0.263 eV/atom. The theoretical density is 8.3 Mg/m³. For the total energy, the calculation gives -17.26 eV/f.u.



Pr2ThZn2In2 after structural relaxation. Source: Alexandria, functional GGA-PBE.

a = 4.778 Å, b = 4.778 Å, c = 9.966 Å
α = 76.13°, β = 76.13°, γ = 60.00°
Sites, in units of the cell vectors:
Zn: 0.393 0.393 0.821
Zn: 0.607 0.607 0.179
In: 0.735 0.735 0.796
In: 0.265 0.265 0.204
Pr: 0.127 0.127 0.618
Pr: 0.873 0.873 0.382
Th: 0.000 0.000 0.000

Its energy relative to the elements is -0.235 eV/atom. The theoretical density is 7.7 Mg/m³. For the total energy, the calculation gives -26.65 eV/f.u.



Pr2TiIn8 after structural relaxation. Source: Alexandria, functional GGA-PBE.

a = 4.679 Å, b = 4.679 Å, c = 12.996 Å
α = 90.00°, β = 90.00°, γ = 90.00°
Sites, in units of the cell vectors:
Pr: 0.000 0.000 0.315
Pr: 0.000 0.000 0.685
In: 0.000 0.500 0.871
In: 0.500 0.500 0.686
In: 0.000 0.500 0.129
In: 0.500 0.500 0.314
In: 0.500 0.000 0.500
In: 0.500 0.000 0.871
In: 0.000 0.500 0.500
In: 0.500 0.000 0.129
Ti: 0.000 0.000 0.000

Its energy relative to the elements is -0.328 eV/atom. The theoretical density is 7.3 Mg/m³. For the total energy, the calculation gives -42.97 eV/f.u.



PrTiIn after structural relaxation. Source: Alexandria, functional GGA-PBE.

a = 4.543 Å, b = 4.543 Å, c = 7.738 Å
α = 90.00°, β = 90.00°, γ = 90.00°
Sites, in units of the cell vectors:
Pr: 0.500 0.000 0.169
Pr: 0.000 0.500 0.831
Ti: 0.500 0.500 0.500
Ti: 0.000 0.000 0.500
In: 0.500 0.000 0.730
In: 0.000 0.500 0.270

Its energy relative to the elements is -0.139 eV/atom. The theoretical density is 6.3 Mg/m³. For the total energy, the calculation gives -15.83 eV/f.u.



Pr6TlIn after structural relaxation. Source: Alexandria, functional GGA-PBE.

a = 5.027 Å, b = 5.027 Å, c = 10.056 Å
α = 90.00°, β = 90.00°, γ = 90.00°
Sites, in units of the cell vectors:
Pr: 0.500 0.000 0.751
Pr: 0.500 0.000 0.249
Pr: 0.500 0.500 0.500
Pr: 0.000 0.500 0.751
Pr: 0.000 0.500 0.249
Pr: 0.500 0.500 0.000
Tl: 0.000 0.000 0.500
In: 0.000 0.000 0.000

Its energy relative to the elements is -0.243 eV/atom. The theoretical density is 7.6 Mg/m³. For the total energy, the calculation gives -35.73 eV/f.u.



Pr3TlIn after structural relaxation. Source: Alexandria, functional GGA-PBE.

a = 5.202 Å, b = 5.202 Å, c = 11.977 Å
α = 90.00°, β = 77.46°, γ = 90.00°
Sites, in units of the cell vectors:
Tl: 0.670 0.750 0.309
Tl: 0.979 0.250 0.691
Pr: 0.885 0.750 0.879
Pr: 0.574 0.250 0.500
Pr: 0.764 0.250 0.121
Pr: 0.264 0.750 0.120
Pr: 0.384 0.250 0.880
Pr: 0.074 0.750 0.500
In: 0.479 0.750 0.691
In: 0.169 0.250 0.309

Its energy relative to the elements is -0.322 eV/atom. The theoretical density is 7.8 Mg/m³. For the total energy, the calculation gives -21.05 eV/f.u. For the offset from the most stable computed form, the calculation gives 0 meV per atom.



Pr2Tl8In after structural relaxation. Source: Alexandria, functional GGA-PBE.

a = 5.076 Å, b = 5.076 Å, c = 12.700 Å
α = 90.00°, β = 90.00°, γ = 90.00°
Sites, in units of the cell vectors:
Tl: 0.500 0.000 0.500
Tl: 0.000 0.500 0.859
Tl: 0.500 0.500 0.677
Tl: 0.500 0.000 0.141
Tl: 0.000 0.500 0.500
Tl: 0.500 0.500 0.323
Tl: 0.000 0.500 0.141
Tl: 0.500 0.000 0.859
Pr: 0.000 0.000 0.321
Pr: 0.000 0.000 0.679
In: 0.000 0.000 0.000

Its energy relative to the elements is -0.174 eV/atom. The theoretical density is 10.3 Mg/m³. For the total energy, the calculation gives -33.14 eV/f.u.



Pr4Tl3In after structural relaxation. Source: Alexandria, functional GGA-PBE.

a = 4.731 Å, b = 4.537 Å, c = 11.985 Å
α = 90.00°, β = 90.00°, γ = 90.00°
Sites, in units of the cell vectors:
Pr: 0.500 0.000 0.637
Pr: 0.000 0.000 0.138
Pr: 0.000 0.500 0.865
Pr: 0.500 0.500 0.362
Tl: 0.500 0.000 0.914
Tl: 0.000 0.000 0.412
Tl: 0.000 0.500 0.589
In: 0.500 0.500 0.083

Its energy relative to the elements is -0.373 eV/atom. The theoretical density is 8.3 Mg/m³. For the total energy, the calculation gives -31.94 eV/f.u. For the offset from the most stable computed form, the calculation gives 48 meV per atom.



Pr12TlIn6 after structural relaxation. Source: Alexandria, functional GGA-PBE.

a = 9.097 Å, b = 9.097 Å, c = 9.097 Å
α = 107.39°, β = 107.39°, γ = 107.39°
Sites, in units of the cell vectors:
In: 0.256 0.662 0.359
In: 0.338 0.641 0.744
In: 0.359 0.256 0.662
In: 0.641 0.744 0.338
In: 0.662 0.359 0.256
In: 0.744 0.338 0.641
Pr: 0.939 0.689 0.606
Pr: 0.061 0.311 0.394
Pr: 0.350 0.038 0.883
Pr: 0.689 0.606 0.939
Pr: 0.606 0.939 0.689
Pr: 0.038 0.883 0.350
Pr: 0.650 0.962 0.117
Pr: 0.311 0.394 0.061
Pr: 0.883 0.350 0.038
Pr: 0.394 0.061 0.311
Pr: 0.117 0.650 0.962
Pr: 0.962 0.117 0.650
Tl: 0.000 0.000 0.000

Its energy relative to the elements is -0.163 eV/atom. The theoretical density is 6.9 Mg/m³. For the total energy, the calculation gives -79.24 eV/f.u.



Pr9Tl2In after structural relaxation. Source: Alexandria, functional GGA-PBE.

a = 5.028 Å, b = 5.028 Å, c = 15.091 Å
α = 90.00°, β = 90.00°, γ = 90.00°
Sites, in units of the cell vectors:
In: 0.000 0.000 0.000
Pr: 0.500 0.000 0.834
Pr: 0.000 0.500 0.500
Pr: 0.500 0.000 0.166
Pr: 0.000 0.500 0.834
Pr: 0.000 0.500 0.166
Pr: 0.500 0.000 0.500
Pr: 0.500 0.500 0.667
Pr: 0.500 0.500 0.333
Pr: 0.500 0.500 0.000
Tl: 0.000 0.000 0.667
Tl: 0.000 0.000 0.333

Its energy relative to the elements is -0.232 eV/atom. The theoretical density is 7.8 Mg/m³. For the total energy, the calculation gives -53.27 eV/f.u.



Pr6Tl3In after structural relaxation. Source: Alexandria, functional GGA-PBE.

a = 5.445 Å, b = 9.949 Å, c = 12.012 Å
α = 105.66°, β = 90.00°, γ = 90.00°
Sites, in units of the cell vectors:
In: 0.250 0.953 0.608
In: 0.750 0.047 0.392
Tl: 0.750 0.227 0.028
Tl: 0.250 0.382 0.788
Tl: 0.750 0.471 0.614
Tl: 0.250 0.529 0.386
Tl: 0.750 0.618 0.212
Tl: 0.250 0.773 0.972
Pr: 0.250 0.101 0.881
Pr: 0.750 0.341 0.322
Pr: 0.750 0.161 0.689
Pr: 0.750 0.878 0.842
Pr: 0.750 0.759 0.496
Pr: 0.250 0.659 0.678
Pr: 0.250 0.839 0.311
Pr: 0.250 0.460 0.091
Pr: 0.250 0.122 0.158
Pr: 0.750 0.899 0.119
Pr: 0.250 0.241 0.504
Pr: 0.750 0.540 0.909

Its energy relative to the elements is -0.319 eV/atom. The theoretical density is 8.3 Mg/m³. For the total energy, the calculation gives -41.71 eV/f.u. For the offset from the most stable computed form, the calculation gives 0 meV per atom.



Pr4Tl2In5 after structural relaxation. Source: Alexandria, functional GGA-PBE.

a = 3.652 Å, b = 8.259 Å, c = 10.568 Å
α = 95.03°, β = 90.00°, γ = 90.00°
Sites, in units of the cell vectors:
Pr: 0.500 0.825 0.109
Pr: 0.500 0.721 0.560
Pr: 0.500 0.279 0.440
Pr: 0.500 0.175 0.891
Tl: 0.000 0.064 0.639
Tl: 0.000 0.936 0.361
In: 0.000 0.192 0.162
In: 0.000 0.555 0.294
In: 0.000 0.808 0.838
In: 0.000 0.500 0.000
In: 0.000 0.445 0.706

Its energy relative to the elements is -0.376 eV/atom. The theoretical density is 8.1 Mg/m³. For the total energy, the calculation gives -41.68 eV/f.u.